No. 1
# PrDy4Bi5

A relaxed structure of PrDy4Bi5 (PBE, the Alexandria database).

Structure (POSCAR):
```
PrDy4Bi5
1.0
-2.2552 3.1905 11.2695
2.2552 -3.1905 11.2695
2.2552 3.1905 -11.2695
Pr Dy Bi
1 4 5
Cartesian
0.0000 0.0000 0.0000
0.0000 0.0000 4.5549
0.0000 0.0000 9.0130
0.0000 0.0000 13.5259
0.0000 0.0000 17.9841
2.2552 0.0000 2.3450
2.2552 0.0000 6.7790
0.0000 3.1905 0.0000
0.0000 3.1905 4.4905
0.0000 3.1905 8.9245
```

Summary:
- formation energy (eV/f.u.) = -8.740
- calculated density (Mg/m³) = 9.399
- space group = Immm



No. 2
# PrLuThSc

A relaxed structure of PrLuThSc (PBE, the Alexandria database).

Structure (POSCAR):
```
PrLuThSc
1.0
7.8690 0.0000 0.0000
0.0000 7.8690 0.0000
0.0000 0.0000 7.8690
Pr Lu Th Sc
4 4 4 4
Cartesian
0.0000 0.0000 0.0000
0.0000 3.9345 3.9345
3.9345 0.0000 3.9345
3.9345 3.9345 0.0000
1.9672 1.9672 5.9017
1.9672 5.9017 1.9672
5.9017 1.9672 1.9672
5.9017 5.9017 5.9017
0.0000 0.0000 3.9345
0.0000 3.9345 0.0000
3.9345 0.0000 0.0000
3.9345 3.9345 3.9345
1.9672 1.9672 1.9672
1.9672 5.9017 5.9017
5.9017 1.9672 5.9017
5.9017 5.9017 1.9672
```

Summary:
- formation energy (eV/f.u.) = 0.365
- calculated density (Mg/m³) = 8.082
- space group = F-43m



No. 3
# CsLiThF6

A relaxed structure of CsLiThF6 (PBE, the Alexandria database).

Structure (POSCAR):
```
CsLiThF6
1.0
5.8417 0.0000 0.0000
-2.9209 5.0591 0.0000
0.0000 0.0000 6.5622
Cs Li Th F
1 1 1 6
Cartesian
0.0000 0.0000 0.0000
0.0000 3.3727 3.2811
2.9209 1.6864 3.2811
-1.0452 1.9625 4.4797
-1.7438 3.1726 2.0825
1.0452 1.9625 2.0825
-0.6987 4.9829 4.4797
1.7438 3.1726 4.4797
0.6987 4.9829 2.0825
```

Summary:
- calculated density (Mg/m³) = 4.159
- space group = P312
- uncorrected formation energy (eV per atom) = -3.557



No. 4
# SmSb2Pd2

A relaxed structure of SmSb2Pd2 (PBE, the Alexandria database).

Structure (POSCAR):
```
SmSb2Pd2
1.0
4.5795 0.0000 0.0000
0.0000 4.5188 0.0000
-0.0137 0.0000 10.9645
Sm Sb Pd
2 4 4
Cartesian
1.1299 1.1297 2.5374
3.4358 3.3891 8.4271
1.1381 3.3891 5.4505
1.1544 1.1297 9.5420
3.4113 3.3891 1.4225
3.4277 1.1297 5.5140
1.1195 3.3891 0.0231
1.1378 1.1297 6.9626
3.4280 3.3891 4.0019
3.4462 1.1297 10.9414
```

Summary:
- calculated density (Mg/m³) = 8.881
- space group = P2_1/m
- uncorrected formation energy (eV per atom) = -0.777



No. 5
# Sr4MnN4

A relaxed structure of Sr4MnN4 (PBE, the Alexandria database).

Structure (POSCAR):
```
Sr4MnN4
1.0
11.7625 0.0000 0.0000
0.0000 5.2584 0.0000
0.0000 0.0000 11.5624
Sr Mn N
16 4 16
Cartesian
0.6499 1.3146 1.2770
1.0860 3.9438 3.6632
1.6090 3.9438 7.6658
2.6813 1.3146 5.4982
3.1999 3.9438 11.2794
4.2723 1.3146 1.8846
4.7953 1.3146 9.4444
5.2314 3.9438 7.0582
6.5311 1.3146 4.5042
6.9672 3.9438 2.1179
7.4902 3.9438 9.6778
8.5626 1.3146 0.2830
9.0812 3.9438 6.0642
10.1535 1.3146 3.8966
10.6765 1.3146 7.8991
11.1126 3.9438 10.2853
1.5941 1.3146 9.8495
4.2872 3.9438 4.0683
7.4753 1.3146 7.4941
10.1684 3.9438 1.7129
0.0418 3.9438 1.2667
0.8178 1.3146 3.8604
2.1032 1.3146 8.2148
2.7400 1.3146 11.2114
3.1413 3.9438 5.4302
3.7781 3.9438 2.4336
5.0635 3.9438 9.6416
5.8395 1.3146 7.0479
5.9230 3.9438 4.5144
6.6990 1.3146 1.9208
7.9844 1.3146 9.1288
8.6212 1.3146 6.1322
9.0225 3.9438 0.3510
9.6593 3.9438 3.3476
10.9447 3.9438 7.7020
11.7207 1.3146 10.2956
```

Summary:
- excess energy over the best structure of this formula in the dataset (meV/atom) = 0
- calculated density (Mg/m³) = 4.286
- space group = Pnma
- uncorrected formation energy (eV per atom) = -0.668



No. 6
# Pa2MoRu

A relaxed structure of Pa2MoRu (PBE, the Alexandria database).

Structure (POSCAR):
```
Pa2MoRu
1.0
6.9057 0.0000 0.0000
0.0000 6.9057 0.0000
0.0000 0.0000 6.9057
Pa Mo Ru
8 4 4
Cartesian
1.7264 1.7264 1.7264
1.7264 1.7264 5.1792
1.7264 5.1792 1.7264
1.7264 5.1792 5.1792
5.1792 1.7264 1.7264
5.1792 1.7264 5.1792
5.1792 5.1792 1.7264
5.1792 5.1792 5.1792
0.0000 0.0000 0.0000
0.0000 3.4528 3.4528
3.4528 0.0000 3.4528
3.4528 3.4528 0.0000
0.0000 0.0000 3.4528
0.0000 3.4528 0.0000
3.4528 0.0000 0.0000
3.4528 3.4528 3.4528
```

Summary:
- excess energy over the best structure of this formula in the dataset (meV/atom) = 31
- formation energy (eV/f.u.) = -0.320
- calculated density (Mg/m³) = 13.293
- space group = Fm-3m



No. 7
# TiAu

A relaxed structure of TiAu (PBE, the Alexandria database).

Structure (POSCAR):
```
TiAu
1.0
3.3523 0.0000 0.0000
0.0000 3.3523 0.0000
0.0000 0.0000 6.1165
Ti Au
2 2
Cartesian
0.8381 0.8381 0.8187
2.5142 2.5142 5.2978
0.8381 0.8381 3.9204
2.5142 2.5142 2.1961
```

Summary:
- formation energy (eV/f.u.) = -0.839
- calculated density (Mg/m³) = 11.830
- space group = P4/nmm



No. 8
# Ba2AlPbO6

A relaxed structure of Ba2AlPbO6 (PBE, the Alexandria database).

Structure (POSCAR):
```
Ba2AlPbO6
1.0
2.9700 1.7147 9.8655
-2.9700 1.7147 9.8655
0.0000 -3.4295 9.8655
Ba Al Pb O
4 2 2 12
Cartesian
0.0000 0.0000 3.9065
0.0000 0.0000 8.3513
0.0000 0.0000 21.2451
0.0000 0.0000 25.6899
0.0000 0.0000 0.0000
0.0000 0.0000 14.7982
0.0000 0.0000 12.0319
0.0000 0.0000 17.5645
-1.3512 -0.7801 13.6267
0.0000 -1.8757 11.0029
-1.6244 0.9379 11.0029
-1.6244 -0.9379 18.5935
0.0000 -1.5602 15.9697
-1.3512 0.7801 15.9697
1.3511 -0.7801 13.6267
0.0000 1.5602 13.6267
1.6244 0.9378 11.0029
1.6244 -0.9378 18.5935
0.0000 1.8757 18.5935
1.3511 0.7801 15.9697
```

Summary:
- calculated density (Mg/m³) = 6.663
- space group = R-3m
- uncorrected formation energy (eV per atom) = -2.026



Number 1: Fermi-level density of states 0.197 states/eV per atom. Number 2: Fermi-level density of states 1.605 states/eV per atom. Number 3: Fermi-level density of states 0.000 states/eV per atom. Number 4: Fermi-level density of states 0.433 states/eV per atom. Number 5: Fermi-level density of states 0.344 states/eV per atom. Number 6: Fermi-level density of states 1.443 states/eV per atom. Number 7: Fermi-level density of states 0.681 states/eV per atom. Number 8: Fermi-level density of states 0.721 states/eV per atom.